Here is a geometry-optimized Zr2CdAs structure from OQMD via LeMat-Bulk. Energies are from PBE.

Structure (POSCAR):
```
Zr2CdAs
1.0
0.0000 3.4883 3.4883
3.4883 0.0000 3.4883
3.4883 3.4883 0.0000
Zr Cd As
2 1 1
direct
0.0000 0.0000 0.0000 Zr
0.2500 0.2500 0.2500 Zr
0.7500 0.7500 0.7500 Cd
0.5000 0.5000 0.5000 As
```

Properties
crystal system	cubic
total magnetic moment	0.33	μB per atom
final energy	-5.450	eV per atom
mass density	7.2	g cm⁻³

***

Here is a geometry-optimized ZrCdAs2 structure from OQMD via LeMat-Bulk. Energies are from PBE.

Structure (POSCAR):
```
ZrCdAs2
1.0
0.0000 3.4454 3.4454
3.4454 0.0000 3.4454
3.4454 3.4454 0.0000
Zr Cd As
1 1 2
direct
0.0000 0.0000 0.0000 Zr
0.2500 0.2500 0.2500 Cd
0.5000 0.5000 0.5000 As
0.7500 0.7500 0.7500 As
```

Properties
crystal system	cubic
total magnetic moment	0.00	μB per atom
final energy	-4.585	eV per atom
mass density	7.2	g cm⁻³

***

Here is a geometry-optimized Cs2CuAsCl6 structure from OQMD via LeMat-Bulk. Energies are from PBE.

Structure (POSCAR):
```
Cs2CuAsCl6
1.0
0.0000 5.0880 5.0880
5.0880 0.0000 5.0880
5.0880 5.0880 0.0000
Cs Cu As Cl
2 1 1 6
direct
0.2500 0.2500 0.2500 Cs
0.7500 0.7500 0.7500 Cs
0.0000 0.0000 0.0000 Cu
0.5000 0.5000 0.5000 As
0.2496 0.2496 0.7504 Cl
0.2496 0.7504 0.2496 Cl
0.2496 0.7504 0.7504 Cl
0.7504 0.2496 0.2496 Cl
0.7504 0.2496 0.7504 Cl
0.7504 0.7504 0.2496 Cl
```

Properties
crystal system	cubic
final energy	-3.277	eV per atom
mass density	3.9	g cm⁻³

***

Here is a geometry-optimized Cs2HgAsCl6 structure from OQMD via LeMat-Bulk. Energies are from PBE.

Structure (POSCAR):
```
Cs2HgAsCl6
1.0
0.0000 5.3693 5.3693
5.3693 0.0000 5.3693
5.3693 5.3693 0.0000
Cs Hg As Cl
2 1 1 6
direct
0.2500 0.2500 0.2500 Cs
0.7500 0.7500 0.7500 Cs
0.0000 0.0000 0.0000 Hg
0.5000 0.5000 0.5000 As
0.2658 0.2658 0.7342 Cl
0.2658 0.7342 0.2658 Cl
0.2658 0.7342 0.7342 Cl
0.7342 0.2658 0.2658 Cl
0.7342 0.2658 0.7342 Cl
0.7342 0.7342 0.2658 Cl
```

Properties
crystal system	cubic
final energy	-2.939	eV per atom
mass density	4.0	g cm⁻³

***

Here is a geometry-optimized CuAsCl7 structure from OQMD via LeMat-Bulk. Energies are from PBE.

Structure (POSCAR):
```
CuAsCl7
1.0
-4.2653 6.6196 3.8637
4.2653 -6.6196 3.8637
4.2653 6.6196 -3.8637
Cu As Cl
2 2 14
direct
0.5000 0.0000 0.0000 Cu
0.5000 0.5000 0.5000 Cu
0.0000 0.0000 0.0000 As
0.5000 0.0000 0.5000 As
0.1391 0.2086 0.3185 Cl
0.1391 0.8206 0.9304 Cl
0.1938 0.7132 0.4806 Cl
0.2673 0.2868 0.9806 Cl
0.3854 0.6354 0.7500 Cl
0.3901 0.2086 0.5696 Cl
0.3901 0.8206 0.1815 Cl
0.6099 0.1794 0.8185 Cl
0.6099 0.7914 0.4304 Cl
0.6146 0.3646 0.2500 Cl
0.7327 0.7132 0.0194 Cl
0.8062 0.2868 0.5194 Cl
0.8609 0.1794 0.0696 Cl
0.8609 0.7914 0.6815 Cl
```

Properties
crystal system	orthorhombic
final energy	-2.704	eV per atom
mass density	2.9	g cm⁻³

***

Here is a geometry-optimized Cu2As4S3Cl2 structure from OQMD via LeMat-Bulk. Energies are from PBE.

Structure (POSCAR):
```
Cu2As4S3Cl2
1.0
6.2413 0.0000 0.0000
0.0000 7.0191 0.0000
-2.6800 0.0000 11.5731
Cu As S Cl
4 8 6 4
direct
0.0593 0.0287 0.1916 Cu
0.0593 0.4713 0.1916 Cu
0.9407 0.5287 0.8084 Cu
0.9407 0.9713 0.8084 Cu
0.2347 0.0708 0.6028 As
0.2347 0.4292 0.6028 As
0.4248 0.7500 0.4081 As
0.4835 0.2500 0.8945 As
0.5165 0.7500 0.1055 As
0.5752 0.2500 0.5919 As
0.7653 0.5708 0.3972 As
0.7653 0.9292 0.3972 As
0.2440 0.7500 0.2151 S
0.2985 0.5008 0.7959 S
0.2985 0.9992 0.7959 S
0.7015 0.0008 0.2041 S
0.7015 0.4992 0.2041 S
0.7560 0.2500 0.7849 S
0.1107 0.2500 0.0565 Cl
0.2061 0.2500 0.3584 Cl
0.7939 0.7500 0.6416 Cl
0.8893 0.7500 0.9435 Cl
```

Properties
crystal system	monoclinic
final energy	-4.095	eV per atom
mass density	3.9	g cm⁻³

***

Here is a geometry-optimized Dy2AsICl structure from OQMD via LeMat-Bulk. Energies are from PBE.

Structure (POSCAR):
```
Dy2AsICl
1.0
4.0960 0.0000 0.0000
-2.0480 3.5472 0.0000
0.0000 0.0000 10.6170
Dy As I Cl
2 1 1 1
direct
0.0000 0.0000 0.0000 Dy
0.3333 0.6667 0.2953 Dy
0.6667 0.3333 0.1471 As
0.0000 0.0000 0.4875 I
0.3333 0.6667 0.8512 Cl
```

Properties
crystal system	trigonal
total magnetic moment	0.00	μB per atom
final energy	-5.119	eV per atom
mass density	6.1	g cm⁻³

***

Here is a geometry-optimized Er2AsClF structure from OQMD via LeMat-Bulk. Energies are from PBE.

Structure (POSCAR):
```
Er2AsClF
1.0
3.8915 0.0000 0.0000
-1.9457 3.3701 0.0000
0.0000 0.0000 7.9259
Er As Cl F
2 1 1 1
direct
0.0000 0.0000 0.0000 Er
0.3333 0.6667 0.5886 Er
0.6667 0.3333 0.7974 As
0.3333 0.6667 0.2111 Cl
0.0000 0.0000 0.4819 F
```

Properties
crystal system	trigonal
total magnetic moment	0.00	μB per atom
final energy	-5.702	eV per atom
mass density	7.4	g cm⁻³

***

Here is a geometry-optimized Er2AsICl structure from OQMD via LeMat-Bulk. Energies are from PBE.

Structure (POSCAR):
```
Er2AsICl
1.0
4.0613 0.0000 0.0000
-2.0307 3.5172 0.0000
0.0000 0.0000 10.5486
Er As I Cl
2 1 1 1
direct
0.0000 0.0000 0.0000 Er
0.3333 0.6667 0.7068 Er
0.6667 0.3333 0.8531 As
0.3333 0.6667 0.1925 I
0.0000 0.0000 0.5580 Cl
```

Properties
crystal system	trigonal
total magnetic moment	0.00	μB per atom
final energy	-5.074	eV per atom
mass density	6.3	g cm⁻³

***

Here is a geometry-optimized Fe3AsCl structure from OQMD via LeMat-Bulk. Energies are from PBE.

Structure (POSCAR):
```
Fe3AsCl
1.0
4.2251 0.0000 0.0000
0.0000 4.2251 0.0000
0.0000 0.0000 4.2251
Fe As Cl
3 1 1
direct
0.0000 0.0000 0.5000 Fe
0.0000 0.5000 0.0000 Fe
0.5000 0.0000 0.0000 Fe
0.5000 0.5000 0.5000 As
0.0000 0.0000 0.0000 Cl
```

Properties
crystal system	cubic
total magnetic moment	1.43	μB per atom
final energy	-5.479	eV per atom
mass density	6.1	g cm⁻³

***

Here is a geometry-optimized InHg3AsSCl4 structure from OQMD via LeMat-Bulk. Energies are from PBE.

Structure (POSCAR):
```
InHg3AsSCl4
1.0
7.5446 0.0000 0.0000
-3.7723 6.5338 0.0000
0.0000 0.0000 12.3852
In Hg As S Cl
2 6 2 2 8
direct
0.0000 0.0000 0.0000 In
0.0000 0.0000 0.5000 In
0.0032 0.5016 0.2123 Hg
0.4984 0.5016 0.2123 Hg
0.4984 0.9968 0.2123 Hg
0.5016 0.0032 0.7123 Hg
0.5016 0.4984 0.7123 Hg
0.9968 0.4984 0.7123 Hg
0.3333 0.6667 0.3186 As
0.6667 0.3333 0.8186 As
0.3333 0.6667 0.6211 S
0.6667 0.3333 0.1211 S
0.0000 0.0000 0.1961 Cl
0.0000 0.0000 0.6961 Cl
0.1758 0.3516 0.9501 Cl
0.1758 0.8242 0.9501 Cl
0.3516 0.1758 0.4501 Cl
0.6484 0.8242 0.9501 Cl
0.8242 0.1758 0.4501 Cl
0.8242 0.6484 0.4501 Cl
```

Properties
crystal system	hexagonal
final energy	-2.600	eV per atom
mass density	5.3	g cm⁻³

***

Here is a geometry-optimized Hg6MoAs4Cl7 structure from OQMD via LeMat-Bulk. Energies are from PBE.

Structure (POSCAR):
```
Hg6MoAs4Cl7
1.0
12.3690 0.0000 0.0000
0.0000 12.3690 0.0000
0.0000 0.0000 12.3690
Hg Mo As Cl
24 4 16 28
direct
0.0476 0.1844 0.7005 Hg
0.0476 0.3156 0.2005 Hg
0.1844 0.7005 0.0476 Hg
0.1844 0.7995 0.5476 Hg
0.2005 0.0476 0.3156 Hg
0.2005 0.4524 0.8156 Hg
0.2995 0.5476 0.3156 Hg
0.2995 0.9524 0.8156 Hg
0.3156 0.2005 0.0476 Hg
0.3156 0.2995 0.5476 Hg
0.4524 0.6844 0.7005 Hg
0.4524 0.8156 0.2005 Hg
0.5476 0.1844 0.7995 Hg
0.5476 0.3156 0.2995 Hg
0.6844 0.7005 0.4524 Hg
0.6844 0.7995 0.9524 Hg
0.7005 0.0476 0.1844 Hg
0.7005 0.4524 0.6844 Hg
0.7995 0.5476 0.1844 Hg
0.7995 0.9524 0.6844 Hg
0.8156 0.2005 0.4524 Hg
0.8156 0.2995 0.9524 Hg
0.9524 0.6844 0.7995 Hg
0.9524 0.8156 0.2995 Hg
0.0000 0.0000 0.0000 Mo
0.0000 0.5000 0.5000 Mo
0.5000 0.0000 0.5000 Mo
0.5000 0.5000 0.0000 Mo
0.1495 0.6495 0.8505 As
0.1495 0.8505 0.3505 As
0.2350 0.2350 0.2350 As
0.2350 0.2650 0.7350 As
0.2650 0.7350 0.2350 As
0.2650 0.7650 0.7350 As
0.3505 0.1495 0.8505 As
0.3505 0.3505 0.3505 As
0.6495 0.6495 0.6495 As
0.6495 0.8505 0.1495 As
0.7350 0.2350 0.2650 As
0.7350 0.2650 0.7650 As
0.7650 0.7350 0.2650 As
0.7650 0.7650 0.7650 As
0.8505 0.1495 0.6495 As
0.8505 0.3505 0.1495 As
0.0000 0.0000 0.5000 Cl
0.0000 0.5000 0.0000 Cl
0.0384 0.5447 0.3107 Cl
0.0384 0.9553 0.8107 Cl
0.0447 0.1893 0.9616 Cl
0.0447 0.3107 0.4616 Cl
0.1893 0.5384 0.5447 Cl
0.1893 0.9616 0.0447 Cl
0.3107 0.0384 0.5447 Cl
0.3107 0.4616 0.0447 Cl
0.4553 0.6893 0.9616 Cl
0.4553 0.8107 0.4616 Cl
0.4616 0.0447 0.3107 Cl
0.4616 0.4553 0.8107 Cl
0.5000 0.0000 0.0000 Cl
0.5000 0.5000 0.5000 Cl
0.5384 0.5447 0.1893 Cl
0.5384 0.9553 0.6893 Cl
0.5447 0.1893 0.5384 Cl
0.5447 0.3107 0.0384 Cl
0.6893 0.5384 0.9553 Cl
0.6893 0.9616 0.4553 Cl
0.8107 0.0384 0.9553 Cl
0.8107 0.4616 0.4553 Cl
0.9553 0.6893 0.5384 Cl
0.9553 0.8107 0.0384 Cl
0.9616 0.0447 0.1893 Cl
0.9616 0.4553 0.6893 Cl
```

Properties
crystal system	cubic
total magnetic moment	0.17	μB per atom
final energy	-2.908	eV per atom
mass density	6.5	g cm⁻³